Record 1
{
  "formula": "NdMg8Cu4",
  "functional": "PBE-GGA",
  "state": "optimized geometry",
  "cell": [[-4.796, 4.796, 2.689], [4.796, -4.796, 2.689], [4.796, 4.796, -2.689]],
  "species": ["Nd", "Mg", "Mg", "Mg", "Mg", "Mg", "Mg", "Mg", "Mg", "Cu", "Cu", "Cu", "Cu"],
  "frac_coords": [[0.000, 0.000, 0.000], [0.000, 0.342, 0.342], [0.000, 0.658, 0.658], [0.283, 0.500, 0.783], [0.342, 0.000, 0.342], [0.500, 0.283, 0.783], [0.500, 0.717, 0.217], [0.658, 0.000, 0.658], [0.717, 0.500, 0.217], [0.000, 0.000, 0.500], [0.000, 0.500, 0.000], [0.500, 0.000, 0.000], [0.500, 0.500, 0.500]],
  "total_magnetization_mub_per_cell": 0.00,
  "e_tot_ha_per_atom": -0.1000
}

Record 2
{
  "formula": "NdMg2Cu6",
  "functional": "PBE-GGA",
  "state": "optimized geometry",
  "cell": [[-1.836, 3.420, 6.208], [1.836, -3.420, 6.208], [1.836, 3.420, -6.208]],
  "species": ["Nd", "Mg", "Mg", "Cu", "Cu", "Cu", "Cu", "Cu", "Cu"],
  "frac_coords": [[0.000, 0.000, 0.000], [0.367, 0.867, 0.500], [0.633, 0.133, 0.500], [0.009, 0.316, 0.693], [0.327, 0.500, 0.827], [0.377, 0.684, 0.693], [0.623, 0.316, 0.307], [0.673, 0.500, 0.173], [0.991, 0.684, 0.307]],
  "total_magnetization_mub_per_cell": 0.00,
  "e_tot_ha_per_atom": -0.1332
}

Record 3
{
  "formula": "Nd2Mg2Cu15",
  "functional": "PBE-GGA",
  "state": "optimized geometry",
  "cell": [[4.362, 2.518, 4.289], [-4.362, 2.518, 4.289], [0.000, -5.036, 4.289]],
  "species": ["Nd", "Nd", "Mg", "Mg", "Cu", "Cu", "Cu", "Cu", "Cu", "Cu", "Cu", "Cu", "Cu", "Cu", "Cu", "Cu", "Cu", "Cu", "Cu"],
  "frac_coords": [[0.148, 0.148, 0.148], [0.852, 0.852, 0.852], [0.396, 0.396, 0.396], [0.604, 0.604, 0.604], [0.000, 0.500, 0.500], [0.153, 0.153, 0.655], [0.153, 0.655, 0.153], [0.202, 0.500, 0.798], [0.202, 0.798, 0.500], [0.345, 0.847, 0.847], [0.500, 0.000, 0.500], [0.500, 0.202, 0.798], [0.500, 0.500, 0.000], [0.500, 0.798, 0.202], [0.655, 0.153, 0.153], [0.798, 0.202, 0.500], [0.798, 0.500, 0.202], [0.847, 0.345, 0.847], [0.847, 0.847, 0.345]],
  "total_magnetization_mub_per_cell": 0.00,
  "e_tot_ha_per_atom": -0.1480
}

Record 4
{
  "formula": "NdMgCu2",
  "functional": "PBE-GGA",
  "state": "optimized geometry",
  "cell": [[7.299, 0.000, 0.000], [0.000, 4.418, 0.000], [0.000, 0.000, 9.856]],
  "species": ["Nd", "Nd", "Nd", "Nd", "Mg", "Mg", "Mg", "Mg", "Cu", "Cu", "Cu", "Cu", "Cu", "Cu", "Cu", "Cu"],
  "frac_coords": [[0.192, 0.250, 0.174], [0.308, 0.750, 0.674], [0.692, 0.250, 0.326], [0.808, 0.750, 0.826], [0.041, 0.750, 0.399], [0.459, 0.250, 0.899], [0.541, 0.750, 0.101], [0.959, 0.250, 0.601], [0.089, 0.250, 0.869], [0.211, 0.750, 0.965], [0.289, 0.250, 0.465], [0.411, 0.750, 0.369], [0.589, 0.250, 0.631], [0.711, 0.750, 0.535], [0.789, 0.250, 0.035], [0.911, 0.750, 0.131]],
  "total_magnetization_mub_per_cell": 0.00,
  "e_tot_ha_per_atom": -0.1399
}

Record 5
{
  "formula": "Nd2MgCu3Ni12",
  "functional": "PBE-GGA",
  "state": "optimized geometry",
  "cell": [[4.216, 2.434, 4.049], [-4.216, 2.434, 4.049], [0.000, -4.868, 4.049]],
  "species": ["Nd", "Nd", "Mg", "Cu", "Cu", "Cu", "Ni", "Ni", "Ni", "Ni", "Ni", "Ni", "Ni", "Ni", "Ni", "Ni", "Ni", "Ni"],
  "frac_coords": [[0.211, 0.211, 0.211], [0.789, 0.789, 0.789], [0.500, 0.500, 0.500], [0.000, 0.500, 0.500], [0.500, 0.000, 0.500], [0.500, 0.500, 0.000], [0.088, 0.088, 0.644], [0.088, 0.644, 0.088], [0.217, 0.700, 0.700], [0.300, 0.300, 0.783], [0.300, 0.783, 0.300], [0.356, 0.912, 0.912], [0.644, 0.088, 0.088], [0.700, 0.217, 0.700], [0.700, 0.700, 0.217], [0.783, 0.300, 0.300], [0.912, 0.356, 0.912], [0.912, 0.912, 0.356]],
  "total_magnetization_mub_per_cell": 0.00,
  "e_tot_ha_per_atom": -0.1873
}

Record 6
{
  "formula": "Nd2MgCu12Ni3",
  "functional": "PBE-GGA",
  "state": "optimized geometry",
  "cell": [[4.278, 2.470, 4.144], [-4.278, 2.470, 4.144], [0.000, -4.940, 4.144]],
  "species": ["Nd", "Nd", "Mg", "Cu", "Cu", "Cu", "Cu", "Cu", "Cu", "Cu", "Cu", "Cu", "Cu", "Cu", "Cu", "Ni", "Ni", "Ni"],
  "frac_coords": [[0.243, 0.243, 0.243], [0.757, 0.757, 0.757], [0.500, 0.500, 0.500], [0.078, 0.078, 0.651], [0.078, 0.651, 0.078], [0.218, 0.701, 0.701], [0.299, 0.299, 0.782], [0.299, 0.782, 0.299], [0.349, 0.922, 0.922], [0.651, 0.078, 0.078], [0.701, 0.218, 0.701], [0.701, 0.701, 0.218], [0.782, 0.299, 0.299], [0.922, 0.349, 0.922], [0.922, 0.922, 0.349], [0.000, 0.500, 0.500], [0.500, 0.000, 0.500], [0.500, 0.500, 0.000]],
  "total_magnetization_mub_per_cell": 0.00,
  "e_tot_ha_per_atom": -0.1559
}

Number 4 is which compound?
NdMgCu2